a:
Zn6Ga12Au after structural relaxation. Source: the Alexandria database, functional PBE-GGA.

```
19
Lattice="5.441 3.142 3.435 -5.441 3.142 3.435 0.000 -6.283 3.435" Properties=species:S:1:pos:R:3 pbc="T T T"
Zn -1.526 -0.310 1.964
Zn 1.032 -1.167 1.964
Zn 0.494 1.477 1.964
Zn -0.494 -1.477 8.342
Zn -1.032 1.167 8.342
Zn 1.526 0.310 8.342
Ga -1.788 -4.336 4.087
Ga -4.649 -0.620 6.219
Ga -2.512 -0.586 4.452
Ga -2.861 3.717 4.087
Ga -0.749 -2.468 5.854
Ga 1.763 -1.882 4.452
Ga -1.763 1.882 5.854
Ga 0.749 2.468 4.452
Ga 2.861 -3.717 6.219
Ga 2.512 0.586 5.854
Ga 4.649 0.620 4.087
Ga 1.788 4.336 6.219
Au 0.000 0.000 5.153
```

Symmetry ... R-3, No. 148
Density ... 6.721 g cm⁻³
Crystal system ... trigonal



b:
Zn6Ga12Au after structural relaxation. Source: the Alexandria database, functional PBE-GGA.

```
19
Lattice="4.756 2.746 4.431 -4.756 2.746 4.431 0.000 -5.492 4.431" Properties=species:S:1:pos:R:3 pbc="T T T"
Zn -2.540 -0.797 7.099
Zn -0.579 -2.598 6.192
Zn -1.961 1.801 6.192
Zn 1.961 -1.801 7.099
Zn 0.579 2.598 7.099
Zn 2.540 0.797 6.192
Ga -0.387 -3.527 3.404
Ga -2.861 2.099 3.404
Ga -1.535 -0.405 4.009
Ga -3.248 -1.428 9.888
Ga 1.118 -1.127 4.009
Ga 0.417 1.532 4.009
Ga -0.417 -1.532 9.282
Ga -1.118 1.127 9.282
Ga 3.248 1.428 3.404
Ga 1.535 0.405 9.282
Ga 2.861 -2.099 9.888
Ga 0.387 3.527 9.888
Au 0.000 0.000 6.646
```

Symmetry ... R-3, No. 148
Density ... 6.821 g cm⁻³
Crystal system ... trigonal



Result of the stability comparison: b is the least stable of them.



a:
Zr4GaAu after structural relaxation. Source: the Alexandria database, functional PBE-GGA.

```
12
Lattice="5.596 0.000 0.000 0.000 5.762 0.000 0.000 0.000 7.916" Properties=species:S:1:pos:R:3 pbc="T T T"
Zr 0.000 1.261 0.989
Zr 0.000 4.501 6.927
Zr 1.399 1.465 5.937
Zr 1.399 4.298 1.979
Zr 2.798 1.261 2.969
Zr 2.798 4.501 4.947
Zr 4.197 1.465 5.937
Zr 4.197 4.298 1.979
Ga 0.000 0.000 3.958
Ga 2.798 0.000 0.000
Au 0.000 2.881 3.958
Au 2.798 2.881 0.000
```

Symmetry ... Pmna, No. 53
Density ... 8.218 g cm⁻³
Crystal system ... orthorhombic



b:
Zr4GaAu after structural relaxation. Source: the Alexandria database, functional PBE-GGA.

```
12
Lattice="6.815 0.000 0.000 0.000 6.815 0.000 0.000 0.000 5.432" Properties=species:S:1:pos:R:3 pbc="T T T"
Zr 1.025 2.328 0.000
Zr 1.025 4.487 2.716
Zr 2.328 1.025 2.716
Zr 2.328 5.791 0.000
Zr 4.487 1.025 0.000
Zr 4.487 5.791 2.716
Zr 5.791 2.328 2.716
Zr 5.791 4.487 0.000
Ga 0.000 0.000 1.358
Ga 0.000 0.000 4.074
Au 3.408 3.408 1.358
Au 3.408 3.408 4.074
```

Symmetry ... P4/mcc, No. 124
Density ... 8.314 g cm⁻³
Crystal system ... tetragonal



Result of the stability comparison: a is the least stable of them.



a:
GdHfAu2 after structural relaxation. Source: the Alexandria database, functional PBE-GGA.

```
4
Lattice="3.440 0.000 0.000 0.000 3.440 0.000 0.000 0.000 7.341" Properties=species:S:1:pos:R:3 pbc="T T T"
Gd 0.000 0.000 0.000
Hf 0.000 0.000 3.670
Au 1.720 1.720 2.089
Au 1.720 1.720 5.252
```

Symmetry ... P4/mmm, No. 123
Density ... 13.946 g cm⁻³
Crystal system ... tetragonal



b:
GdHfAu2 after structural relaxation. Source: the Alexandria database, functional PBE-GGA.

```
4
Lattice="2.369 1.368 4.675 -2.369 1.368 4.675 0.000 -2.736 4.675" Properties=species:S:1:pos:R:3 pbc="T T T"
Gd 0.000 0.000 0.000
Hf 0.000 0.000 7.012
Au 0.000 0.000 3.099
Au 0.000 0.000 10.925
```

Symmetry ... R-3m, No. 166
Density ... 13.328 g cm⁻³
Crystal system ... trigonal



Result of the stability comparison: b is the least stable of them.



a:
GdHgAu after structural relaxation. Source: the Alexandria database, functional PBE-GGA.

```
3
Lattice="-1.927 1.927 4.725 1.927 -1.927 4.725 1.927 1.927 -4.725" Properties=species:S:1:pos:R:3 pbc="T T T"
Gd 0.000 0.000 0.000
Hg 0.000 0.000 6.377
Au 0.000 0.000 3.219
```

Symmetry ... I4mm, No. 107
Density ... 13.127 g cm⁻³
Crystal system ... tetragonal



b:
GdHgAu after structural relaxation. Source: the Alexandria database, functional PBE-GGA.

```
3
Lattice="4.860 0.000 0.000 -2.430 4.209 0.000 0.000 0.000 3.429" Properties=species:S:1:pos:R:3 pbc="T T T"
Gd 0.000 0.000 0.000
Hg 0.000 2.806 1.714
Au 2.430 1.403 1.714
```

Symmetry ... P-6m2, No. 187
Density ... 13.135 g cm⁻³
Crystal system ... hexagonal



Result of the stability comparison: b is the least stable of them.



a:
GdHoAu after structural relaxation. Source: the Alexandria database, functional PBE-GGA.

```
3
Lattice="-1.805 1.805 6.118 1.805 -1.805 6.118 1.805 1.805 -6.118" Properties=species:S:1:pos:R:3 pbc="T T T"
Gd 0.000 0.000 0.000
Ho 0.000 0.000 8.679
Au 0.000 0.000 4.221
```

Symmetry ... I4mm, No. 107
Density ... 10.812 g cm⁻³
Crystal system ... tetragonal



b:
GdHoAu after structural relaxation. Source: the Alexandria database, functional PBE-GGA.

```
3
Lattice="4.907 0.000 0.000 -2.453 4.249 0.000 0.000 0.000 3.837" Properties=species:S:1:pos:R:3 pbc="T T T"
Gd 0.000 0.000 0.000
Ho 2.453 1.416 1.797
Au 0.000 2.833 2.657
```

Symmetry ... P3m1, No. 156
Density ... 10.775 g cm⁻³
Crystal system ... trigonal



Result of the stability comparison: b is the least stable of them.



a:
LaGdAu2 after structural relaxation. Source: the Alexandria database, functional PBE-GGA.

```
4
Lattice="0.000 3.714 3.714 3.714 0.000 3.714 3.714 3.714 0.000" Properties=species:S:1:pos:R:3 pbc="T T T"
La 0.000 0.000 0.000
Gd 3.714 3.714 3.714
Au 1.857 1.857 1.857
Au 5.570 5.570 5.570
```

Symmetry ... Fm-3m, No. 225
Density ... 11.188 g cm⁻³
Crystal system ... cubic



b:
LaGdAu2 after structural relaxation. Source: the Alexandria database, functional PBE-GGA.

```
4
Lattice="3.678 0.000 0.000 0.000 3.678 0.000 0.000 0.000 7.507" Properties=species:S:1:pos:R:3 pbc="T T T"
La 0.000 0.000 0.000
Gd 0.000 0.000 3.753
Au 1.839 1.839 2.036
Au 1.839 1.839 5.471
```

Symmetry ... P4/mmm, No. 123
Density ... 11.282 g cm⁻³
Crystal system ... tetragonal



Result of the stability comparison: a is the least stable of them.



a:
LiGdAu2 after structural relaxation. Source: the Alexandria database, functional PBE-GGA.

```
4
Lattice="3.522 0.000 0.000 0.000 3.522 0.000 0.000 0.000 6.534" Properties=species:S:1:pos:R:3 pbc="T T T"
Li 0.000 0.000 0.000
Gd 0.000 0.000 3.267
Au 1.761 1.761 1.437
Au 1.761 1.761 5.097
```

Symmetry ... P4/mmm, No. 123
Density ... 11.435 g cm⁻³
Crystal system ... tetragonal



b:
LiGdAu2 after structural relaxation. Source: the Alexandria database, functional PBE-GGA.

```
4
Lattice="4.817 0.000 0.000 0.000 4.817 0.000 0.000 0.000 3.619" Properties=species:S:1:pos:R:3 pbc="T T T"
Li 0.000 0.000 0.000
Gd 2.408 2.408 0.000
Au 0.000 2.408 1.809
Au 2.408 0.000 1.809
```

Symmetry ... P4/mmm, No. 123
Density ... 11.038 g cm⁻³
Crystal system ... tetragonal



Result of the stability comparison: b is the least stable of them.



a:
GdLu2Au after structural relaxation. Source: the Alexandria database, functional PBE-GGA.

```
4
Lattice="3.524 0.000 0.000 0.000 3.524 0.000 0.000 0.000 8.667" Properties=species:S:1:pos:R:3 pbc="T T T"
Gd 0.000 0.000 0.000
Lu 1.762 1.762 2.601
Lu 1.762 1.762 6.066
Au 0.000 0.000 4.333
```

Symmetry ... P4/mmm, No. 123
Density ... 10.863 g cm⁻³
Crystal system ... tetragonal



b:
GdLu2Au after structural relaxation. Source: the Alexandria database, functional PBE-GGA.

```
4
Lattice="4.677 0.000 0.000 0.000 4.677 0.000 0.000 0.000 4.647" Properties=species:S:1:pos:R:3 pbc="T T T"
Gd 0.000 0.000 0.000
Lu 0.000 2.339 2.324
Lu 2.339 0.000 2.324
Au 2.339 2.339 0.000
```

Symmetry ... P4/mmm, No. 123
Density ... 11.501 g cm⁻³
Crystal system ... tetragonal



Result of the stability comparison: b is the least stable of them.



a:
GdLuAu2 after structural relaxation. Source: the Alexandria database, functional PBE-GGA.

```
4
Lattice="0.000 3.585 3.585 3.585 0.000 3.585 3.585 3.585 0.000" Properties=species:S:1:pos:R:3 pbc="T T T"
Gd 0.000 0.000 0.000
Lu 3.585 3.585 3.585
Au 1.792 1.792 1.792
Au 5.377 5.377 5.377
```

Symmetry ... Fm-3m, No. 225
Density ... 13.090 g cm⁻³
Crystal system ... cubic



b:
GdLuAu2 after structural relaxation. Source: the Alexandria database, functional PBE-GGA.

```
4
Lattice="3.543 0.000 0.000 0.000 3.543 0.000 0.000 0.000 7.285" Properties=species:S:1:pos:R:3 pbc="T T T"
Gd 0.000 0.000 0.000
Lu 0.000 0.000 3.642
Au 1.772 1.772 1.959
Au 1.772 1.772 5.326
```

Symmetry ... P4/mmm, No. 123
Density ... 13.184 g cm⁻³
Crystal system ... tetragonal



Result of the stability comparison: a is the least stable of them.



a:
NaGdAu2 after structural relaxation. Source: the Alexandria database, functional PBE-GGA.

```
4
Lattice="2.042 1.179 7.396 -2.042 1.179 7.396 0.000 -2.358 7.396" Properties=species:S:1:pos:R:3 pbc="T T T"
Na 0.000 0.000 0.000
Gd 0.000 0.000 11.094
Au 0.000 0.000 5.458
Au 0.000 0.000 16.729
```

Symmetry ... R-3m, No. 166
Density ... 8.922 g cm⁻³
Crystal system ... trigonal



b:
NaGdAu2 after structural relaxation. Source: the Alexandria database, functional PBE-GGA.

```
4
Lattice="0.000 3.556 3.556 3.556 0.000 3.556 3.556 3.556 0.000" Properties=species:S:1:pos:R:3 pbc="T T T"
Na 0.000 0.000 0.000
Gd 3.556 3.556 3.556
Au 1.778 1.778 1.778
Au 5.334 5.334 5.334
```

Symmetry ... Fm-3m, No. 225
Density ... 10.605 g cm⁻³
Crystal system ... cubic



Result of the stability comparison: a is the least stable of them.



a:
Nd2GdAu after structural relaxation. Source: the Alexandria database, functional PBE-GGA.

```
4
Lattice="3.724 0.000 0.000 0.000 3.724 0.000 0.000 0.000 8.651" Properties=species:S:1:pos:R:3 pbc="T T T"
Nd 0.000 0.000 1.817
Nd 0.000 0.000 6.835
Gd 1.862 1.862 4.326
Au 1.862 1.862 0.000
```

Symmetry ... P4/mmm, No. 123
Density ... 8.895 g cm⁻³
Crystal system ... tetragonal



b:
Nd2GdAu after structural relaxation. Source: the Alexandria database, functional PBE-GGA.

```
4
Lattice="5.507 0.000 0.000 0.000 5.507 0.000 0.000 0.000 3.748" Properties=species:S:1:pos:R:3 pbc="T T T"
Nd 0.000 2.753 0.000
Nd 2.753 0.000 0.000
Gd 0.000 0.000 1.874
Au 2.753 2.753 1.874
```

Symmetry ... P4/mmm, No. 123
Density ... 9.390 g cm⁻³
Crystal system ... tetragonal



Result of the stability comparison: b is the least stable of them.



a:
NdGd2Au after structural relaxation. Source: the Alexandria database, functional PBE-GGA.

```
4
Lattice="4.867 0.000 0.000 0.000 4.867 0.000 0.000 0.000 4.687" Properties=species:S:1:pos:R:3 pbc="T T T"
Nd 0.000 0.000 0.000
Gd 0.000 2.433 2.344
Gd 2.433 0.000 2.344
Au 2.433 2.433 0.000
```

Symmetry ... P4/mmm, No. 123
Density ... 9.808 g cm⁻³
Crystal system ... tetragonal



b:
NdGd2Au after structural relaxation. Source: the Alexandria database, functional PBE-GGA.

```
4
Lattice="1.867 1.078 10.166 -1.867 1.078 10.166 0.000 -2.156 10.166" Properties=species:S:1:pos:R:3 pbc="T T T"
Nd 0.000 0.000 0.000
Gd 0.000 0.000 7.198
Gd 0.000 0.000 23.301
Au 0.000 0.000 15.250
```

Symmetry ... R-3m, No. 166
Density ... 8.869 g cm⁻³
Crystal system ... trigonal



c:
NdGd2Au after structural relaxation. Source: the Alexandria database, functional PBE-GGA.

```
4
Lattice="3.664 0.000 0.000 0.000 3.664 0.000 0.000 0.000 8.662" Properties=species:S:1:pos:R:3 pbc="T T T"
Nd 0.000 0.000 0.000
Gd 1.832 1.832 2.566
Gd 1.832 1.832 6.096
Au 0.000 0.000 4.331
```

Symmetry ... P4/mmm, No. 123
Density ... 9.363 g cm⁻³
Crystal system ... tetragonal



Result of the stability comparison: a is the least stable of them.



a:
Gd2PaAu after structural relaxation. Source: the Alexandria database, functional PBE-GGA.

```
4
Lattice="3.534 0.000 0.000 0.000 3.534 0.000 0.000 0.000 8.284" Properties=species:S:1:pos:R:3 pbc="T T T"
Gd 0.000 0.000 1.874
Gd 0.000 0.000 6.411
Pa 1.767 1.767 4.142
Au 1.767 1.767 0.000
```

Symmetry ... P4/mmm, No. 123
Density ... 11.915 g cm⁻³
Crystal system ... tetragonal



b:
Gd2PaAu after structural relaxation. Source: the Alexandria database, functional PBE-GGA.

```
4
Lattice="1.651 0.953 11.215 -1.651 0.953 11.215 0.000 -1.906 11.215" Properties=species:S:1:pos:R:3 pbc="T T T"
Gd 0.000 0.000 3.202
Gd 0.000 0.000 30.444
Pa 0.000 0.000 0.000
Au 0.000 0.000 16.823
```

Symmetry ... R-3m, No. 166
Density ... 11.642 g cm⁻³
Crystal system ... trigonal



Result of the stability comparison: b is the least stable of them.